Computed, not measured: an optimized crystal structure of MgHgRu at the GGA-PBE level of DFT.

Summary:
Polymorph energy (0 for the lowest one) (meV/atom): 0
Energy of formation (eV/atom): 0.2139

```
data_MgHgRu
_space_group_name_H-M_alt 'I 4 m m'
_space_group_IT_number 107
_space_group_name_Hall 'I 4 -2'
_cell_length_a 3.2809
_cell_length_b 3.2809
_cell_length_c 9.7748
_cell_angle_alpha 90.00
_cell_angle_beta 90.00
_cell_angle_gamma 90.00
loop_
_atom_site_label
_atom_site_type_symbol
_atom_site_fract_x
_atom_site_fract_y
_atom_site_fract_z
Mg1 Mg 0.0000 0.0000 0.0000
Hg1 Hg 0.0000 0.0000 0.6837
Ru1 Ru 0.0000 0.0000 0.3557
```